(1)
The following is a GGA-PBEsol calculation of MoAs2Pt after structural relaxation, from Alexandria via LeMat-Bulk.

Cell and atoms, written as extended XYZ:
```
4
Lattice="1.761 -2.325 0.000 1.761 2.325 0.000 0.000 0.000 7.813" Properties=species:S:1:pos:R:3 pbc="T T T"
Mo 0.000 0.000 0.000
As 1.761 0.000 1.903
As 1.761 0.000 5.910
Pt 0.000 0.000 3.906
```

## Properties
Spin magnetization (μB per cell): 0.00
ΔH_f (0 K) (eV per formula unit): 1.00
VASP energy (eV per atom): -6.987



(2)
The following is a GGA-PBEsol calculation of MoAsPt after structural relaxation, from Alexandria via LeMat-Bulk.

Cell and atoms, written as extended XYZ:
```
3
Lattice="-1.540 1.540 4.809 1.540 -1.540 4.809 1.540 1.540 -4.809" Properties=species:S:1:pos:R:3 pbc="T T T"
Mo 0.000 0.000 0.000
As 0.000 0.000 3.461
Pt 0.000 0.000 6.584
```

## Properties
Spin magnetization (μB per cell): 0.00
ΔH_f (0 K) (eV per formula unit): -0.12
VASP energy (eV per atom): -7.986



(3)
The following is a GGA-PBEsol calculation of MoAsPt2 after structural relaxation, from Alexandria via LeMat-Bulk.

Cell and atoms, written as extended XYZ:
```
4
Lattice="1.424 0.822 8.677 -1.424 0.822 8.677 0.000 -1.644 8.677" Properties=species:S:1:pos:R:3 pbc="T T T"
Mo 0.000 0.000 0.000
As 0.000 0.000 6.539
Pt 0.000 0.000 13.129
Pt 0.000 0.000 19.461
```

## Properties
Spin magnetization (μB per cell): 0.00
ΔH_f (0 K) (eV per formula unit): -0.02
VASP energy (eV per atom): -7.706



(4)
The following is a GGA-PBEsol calculation of Re2MoAs after structural relaxation, from Alexandria via LeMat-Bulk.

Cell and atoms, written as extended XYZ:
```
4
Lattice="1.421 0.821 8.522 -1.421 0.821 8.522 0.000 -1.641 8.522" Properties=species:S:1:pos:R:3 pbc="T T T"
Re 0.000 0.000 6.354
Re 0.000 0.000 19.212
Mo 0.000 0.000 0.000
As 0.000 0.000 12.783
```

## Properties
Spin magnetization (μB per cell): 0.00
ΔH_f (0 K) (eV per formula unit): 1.01
VASP energy (eV per atom): -10.631



(5)
The following is a GGA-PBEsol calculation of ReMo2As after structural relaxation, from Alexandria via LeMat-Bulk.

Cell and atoms, written as extended XYZ:
```
4
Lattice="1.427 0.824 8.537 -1.427 0.824 8.537 0.000 -1.647 8.537" Properties=species:S:1:pos:R:3 pbc="T T T"
Re 0.000 0.000 0.000
Mo 0.000 0.000 6.374
Mo 0.000 0.000 19.236
As 0.000 0.000 12.805
```

## Properties
Spin magnetization (μB per cell): 0.00
ΔH_f (0 K) (eV per formula unit): 0.65
VASP energy (eV per atom): -10.332



(6)
The following is a GGA-PBEsol calculation of ReMo2As after structural relaxation, from Alexandria via LeMat-Bulk.

Cell and atoms, written as extended XYZ:
```
4
Lattice="2.856 0.000 0.000 0.000 4.338 0.000 -1.257 0.000 4.870" Properties=species:S:1:pos:R:3 pbc="T T T"
Re 0.000 0.000 0.000
Mo 0.023 2.169 3.805
Mo 1.010 0.000 2.434
As -0.216 2.169 1.279
```

## Properties
Spin magnetization (μB per cell): 0.00
ΔH_f (0 K) (eV per formula unit): 0.52
VASP energy (eV per atom): -10.365



(7)
The following is a GGA-PBEsol calculation of Re2MoAs after structural relaxation, from Alexandria via LeMat-Bulk.

Cell and atoms, written as extended XYZ:
```
4
Lattice="-1.495 2.216 4.380 1.495 -2.216 4.380 1.495 2.216 -4.380" Properties=species:S:1:pos:R:3 pbc="T T T"
Re 0.000 0.000 0.000
Re 0.000 2.216 2.087
Mo 1.495 0.000 2.437
As 0.000 0.000 4.456
```

## Properties
Spin magnetization (μB per cell): 0.00
ΔH_f (0 K) (eV per formula unit): 0.61
VASP energy (eV per atom): -10.732



(8)
The following is a GGA-PBEsol calculation of ReMo3As after structural relaxation, from Alexandria via LeMat-Bulk.

Cell and atoms, written as extended XYZ:
```
5
Lattice="4.689 0.000 0.000 0.000 4.689 0.000 0.000 0.000 4.689" Properties=species:S:1:pos:R:3 pbc="T T T"
Re 0.000 0.000 0.000
Mo 0.000 0.000 2.345
Mo 0.000 2.345 0.000
Mo 2.345 0.000 0.000
As 2.345 2.345 2.345
```

## Properties
Spin magnetization (μB per cell): 0.02
ΔH_f (0 K) (eV per formula unit): 9.00
VASP energy (eV per atom): -8.948



(9)
The following is a GGA-PBEsol calculation of Re2MoAs after structural relaxation, from Alexandria via LeMat-Bulk.

Cell and atoms, written as extended XYZ:
```
4
Lattice="1.509 -2.278 0.000 1.509 2.278 0.000 0.000 0.000 8.880" Properties=species:S:1:pos:R:3 pbc="T T T"
Re 0.000 0.000 2.155
Re 0.000 0.000 6.725
Mo 1.509 0.000 0.000
As 1.509 0.000 4.440
```

## Properties
Spin magnetization (μB per cell): 0.00
ΔH_f (0 K) (eV per formula unit): 1.83
VASP energy (eV per atom): -10.428



(10)
The following is a GGA-PBEsol calculation of Re3MoAs after structural relaxation, from Alexandria via LeMat-Bulk.

Cell and atoms, written as extended XYZ:
```
5
Lattice="4.640 0.000 0.000 0.000 4.640 0.000 0.000 0.000 4.640" Properties=species:S:1:pos:R:3 pbc="T T T"
Re 0.000 0.000 2.320
Re 0.000 2.320 0.000
Re 2.320 0.000 0.000
Mo 0.000 0.000 0.000
As 2.320 2.320 2.320
```

## Properties
Spin magnetization (μB per cell): 0.01
ΔH_f (0 K) (eV per formula unit): 12.00
VASP energy (eV per atom): -8.975



(11)
The following is a GGA-PBEsol calculation of ReMo2As after structural relaxation, from Alexandria via LeMat-Bulk.

Cell and atoms, written as extended XYZ:
```
4
Lattice="0.000 3.096 3.096 3.096 0.000 3.096 3.096 3.096 0.000" Properties=species:S:1:pos:R:3 pbc="T T T"
Re 0.000 0.000 0.000
Mo 1.548 1.548 1.548
Mo 3.096 3.096 3.096
As 4.644 4.644 4.644
```

## Properties
Spin magnetization (μB per cell): 0.00
ΔH_f (0 K) (eV per formula unit): 1.15
VASP energy (eV per atom): -10.206



(12)
The following is a GGA-PBEsol calculation of ReMoAs after structural relaxation, from Alexandria via LeMat-Bulk.

Cell and atoms, written as extended XYZ:
```
3
Lattice="4.237 0.000 0.000 -2.119 3.670 0.000 0.000 0.000 2.864" Properties=species:S:1:pos:R:3 pbc="T T T"
Re 0.000 0.000 0.000
Mo 2.119 1.223 1.432
As 0.000 2.447 0.000
```

## Properties
Spin magnetization (μB per cell): 0.00
ΔH_f (0 K) (eV per formula unit): 0.10
VASP energy (eV per atom): -10.035



(13)
The following is a GGA-PBEsol calculation of ReMoAs2Se after structural relaxation, from Alexandria via LeMat-Bulk.

Cell and atoms, written as extended XYZ:
```
5
Lattice="4.649 0.000 0.000 0.000 4.649 0.000 0.000 0.000 5.136" Properties=species:S:1:pos:R:3 pbc="T T T"
Re 0.000 0.000 0.000
Mo 2.324 2.324 2.568
As 0.000 2.324 0.000
As 2.324 0.000 0.000
Se 0.000 0.000 2.568
```

## Properties
Spin magnetization (μB per cell): 3.54
Uncorrected formation energy (kJ per mole of atoms): 120.2
VASP energy (eV per atom): -6.586



(14)
The following is a GGA-PBEsol calculation of MoAs2Rh after structural relaxation, from Alexandria via LeMat-Bulk.

Cell and atoms, written as extended XYZ:
```
4
Lattice="3.103 0.000 0.000 0.000 3.103 0.000 0.000 0.000 6.064" Properties=species:S:1:pos:R:3 pbc="T T T"
Mo 0.000 0.000 0.000
As 1.551 1.551 1.468
As 1.551 1.551 4.596
Rh 0.000 0.000 3.032
```

## Properties
Spin magnetization (μB per cell): 0.00
ΔH_f (0 K) (eV per formula unit): -0.67
VASP energy (eV per atom): -7.696



(15)
The following is a GGA-PBEsol calculation of MoAsRh2 after structural relaxation, from Alexandria via LeMat-Bulk.

Cell and atoms, written as extended XYZ:
```
4
Lattice="2.831 0.000 0.000 0.000 3.808 0.000 0.000 0.000 5.308" Properties=species:S:1:pos:R:3 pbc="T T T"
Mo 0.000 0.000 0.000
As 0.000 0.000 2.654
Rh 1.415 1.904 1.299
Rh 1.415 1.904 4.009
```

## Properties
Spin magnetization (μB per cell): 0.00
ΔH_f (0 K) (eV per formula unit): -0.68
VASP energy (eV per atom): -8.459



(16)
The following is a GGA-PBEsol calculation of MoAsRh2 after structural relaxation, from Alexandria via LeMat-Bulk.

Cell and atoms, written as extended XYZ:
```
4
Lattice="0.000 3.048 3.048 3.048 0.000 3.048 3.048 3.048 0.000" Properties=species:S:1:pos:R:3 pbc="T T T"
Mo 0.000 0.000 0.000
As 1.524 1.524 1.524
Rh 3.048 3.048 3.048
Rh 4.572 4.572 4.572
```

## Properties
Spin magnetization (μB per cell): 0.00
ΔH_f (0 K) (eV per formula unit): -0.35
VASP energy (eV per atom): -8.375



(17)
The following is a GGA-PBEsol calculation of MoAsRh2 after structural relaxation, from Alexandria via LeMat-Bulk.

Cell and atoms, written as extended XYZ:
```
4
Lattice="2.898 0.000 0.000 0.000 4.418 0.000 0.000 0.000 4.434" Properties=species:S:1:pos:R:3 pbc="T T T"
Mo 0.000 0.000 0.000
As 1.449 0.000 2.217
Rh 0.000 2.209 2.217
Rh 1.449 2.209 0.000
```

## Properties
Spin magnetization (μB per cell): 0.00
ΔH_f (0 K) (eV per formula unit): -0.29
VASP energy (eV per atom): -8.360



(18)
The following is a GGA-PBEsol calculation of MoAsRh after structural relaxation, from Alexandria via LeMat-Bulk.

Cell and atoms, written as extended XYZ:
```
3
Lattice="-1.489 1.489 4.879 1.489 -1.489 4.879 1.489 1.489 -4.879" Properties=species:S:1:pos:R:3 pbc="T T T"
Mo 0.000 0.000 0.000
As 0.000 0.000 3.384
Rh 0.000 0.000 6.658
```

## Properties
Spin magnetization (μB per cell): 0.00
ΔH_f (0 K) (eV per formula unit): -0.36
VASP energy (eV per atom): -8.456



(19)
The following is a GGA-PBEsol calculation of MoAsRh3 after structural relaxation, from Alexandria via LeMat-Bulk.

Cell and atoms, written as extended XYZ:
```
5
Lattice="4.589 0.000 0.000 0.000 4.589 0.000 0.000 0.000 4.589" Properties=species:S:1:pos:R:3 pbc="T T T"
Mo 0.000 0.000 0.000
As 2.294 2.294 2.294
Rh 0.000 0.000 2.294
Rh 0.000 2.294 0.000
Rh 2.294 0.000 0.000
```

## Properties
Spin magnetization (μB per cell): 0.00
ΔH_f (0 K) (eV per formula unit): 6.40
VASP energy (eV per atom): -6.979



(20)
The following is a GGA-PBEsol calculation of MoAsRh2 after structural relaxation, from Alexandria via LeMat-Bulk.

Cell and atoms, written as extended XYZ:
```
4
Lattice="2.822 0.000 0.000 0.000 2.822 0.000 0.000 0.000 7.203" Properties=species:S:1:pos:R:3 pbc="T T T"
Mo 0.000 0.000 0.000
As 0.000 0.000 3.602
Rh 1.411 1.411 1.834
Rh 1.411 1.411 5.370
```

## Properties
Spin magnetization (μB per cell): 0.00
ΔH_f (0 K) (eV per formula unit): -0.59
VASP energy (eV per atom): -8.436



(21)
The following is a GGA-PBEsol calculation of MoAs2Ru after structural relaxation, from Alexandria via LeMat-Bulk.

Cell and atoms, written as extended XYZ:
```
4
Lattice="1.426 0.823 9.817 -1.426 0.823 9.817 0.000 -1.647 9.817" Properties=species:S:1:pos:R:3 pbc="T T T"
Mo 0.000 0.000 0.000
As 0.000 0.000 7.724
As 0.000 0.000 13.884
Ru 0.000 0.000 21.777
```

## Properties
Spin magnetization (μB per cell): 0.00
ΔH_f (0 K) (eV per formula unit): 0.22
VASP energy (eV per atom): -7.984
Energy above the most stable polymorph in this dataset (meV/atom): 16



(22)
The following is a GGA-PBEsol calculation of MoAsRu2 after structural relaxation, from Alexandria via LeMat-Bulk.

Cell and atoms, written as extended XYZ:
```
4
Lattice="2.873 0.000 0.000 0.000 2.873 0.000 0.000 0.000 6.769" Properties=species:S:1:pos:R:3 pbc="T T T"
Mo 0.000 0.000 0.000
As 0.000 0.000 3.384
Ru 1.437 1.437 1.846
Ru 1.437 1.437 4.923
```

## Properties
Spin magnetization (μB per cell): 0.00
ΔH_f (0 K) (eV per formula unit): -0.24
VASP energy (eV per atom): -9.365



(23)
The following is a GGA-PBEsol calculation of Mo2AsRu after structural relaxation, from Alexandria via LeMat-Bulk.

Cell and atoms, written as extended XYZ:
```
4
Lattice="3.096 0.000 0.000 0.000 4.281 0.000 0.000 0.000 4.382" Properties=species:S:1:pos:R:3 pbc="T T T"
Mo 0.000 0.000 0.000
Mo 1.548 2.141 0.000
As 0.000 2.141 2.191
Ru 1.548 0.000 2.191
```

## Properties
Spin magnetization (μB per cell): 0.00
ΔH_f (0 K) (eV per formula unit): 0.30
VASP energy (eV per atom): -9.628



(24)
The following is a GGA-PBEsol calculation of MoAsRu after structural relaxation, from Alexandria via LeMat-Bulk.

Cell and atoms, written as extended XYZ:
```
3
Lattice="0.000 2.910 2.910 2.910 0.000 2.910 2.910 2.910 0.000" Properties=species:S:1:pos:R:3 pbc="T T T"
Mo 0.000 0.000 0.000
As 2.910 2.910 2.910
Ru 1.455 1.455 1.455
```

## Properties
Spin magnetization (μB per cell): 0.00
ΔH_f (0 K) (eV per formula unit): -0.12
VASP energy (eV per atom): -9.057



(25)
The following is a GGA-PBEsol calculation of MoAsRu3 after structural relaxation, from Alexandria via LeMat-Bulk.

Cell and atoms, written as extended XYZ:
```
5
Lattice="4.562 0.000 0.000 0.000 4.562 0.000 0.000 0.000 4.562" Properties=species:S:1:pos:R:3 pbc="T T T"
Mo 0.000 0.000 0.000
As 2.281 2.281 2.281
Ru 0.000 0.000 2.281
Ru 0.000 2.281 0.000
Ru 2.281 0.000 0.000
```

## Properties
Spin magnetization (μB per cell): 0.00
ΔH_f (0 K) (eV per formula unit): 8.74
VASP energy (eV per atom): -7.730



(26)
The following is a GGA-PBEsol calculation of MoAsRu after structural relaxation, from Alexandria via LeMat-Bulk.

Cell and atoms, written as extended XYZ:
```
3
Lattice="-1.429 1.987 3.828 1.429 -1.987 3.828 1.429 1.987 -3.828" Properties=species:S:1:pos:R:3 pbc="T T T"
Mo 0.000 0.000 0.000
As 0.000 0.000 2.521
Ru 0.000 0.000 5.027
```

## Properties
Spin magnetization (μB per cell): 0.00
ΔH_f (0 K) (eV per formula unit): 0.14
VASP energy (eV per atom): -8.970



(27)
The following is a GGA-PBEsol calculation of MoAsRu2 after structural relaxation, from Alexandria via LeMat-Bulk.

Cell and atoms, written as extended XYZ:
```
4
Lattice="2.891 0.000 0.000 0.000 4.371 0.000 0.000 0.000 4.469" Properties=species:S:1:pos:R:3 pbc="T T T"
Mo 0.000 0.000 0.000
As 1.445 0.000 2.234
Ru 0.000 2.185 2.234
Ru 1.445 2.185 0.000
```

## Properties
Spin magnetization (μB per cell): 0.00
ΔH_f (0 K) (eV per formula unit): 0.53
VASP energy (eV per atom): -9.172



(28)
The following is a GGA-PBEsol calculation of MoAsRu2 after structural relaxation, from Alexandria via LeMat-Bulk.

Cell and atoms, written as extended XYZ:
```
4
Lattice="4.454 -1.401 0.000 4.454 1.401 0.000 -0.411 0.000 4.554" Properties=species:S:1:pos:R:3 pbc="T T T"
Mo 0.000 0.000 0.000
As 4.248 0.000 2.277
Ru 2.011 0.000 3.441
Ru 6.485 0.000 1.113
```

## Properties
Spin magnetization (μB per cell): 0.00
ΔH_f (0 K) (eV per formula unit): 0.33
VASP energy (eV per atom): -9.223



(29)
The following is a GGA-PBEsol calculation of Mo2AsRu after structural relaxation, from Alexandria via LeMat-Bulk.

Cell and atoms, written as extended XYZ:
```
4
Lattice="-1.535 2.155 4.357 1.535 -2.155 4.357 1.535 2.155 -4.357" Properties=species:S:1:pos:R:3 pbc="T T T"
Mo 0.000 0.000 2.052
Mo 0.000 0.000 6.662
As 1.535 0.000 0.000
Ru 0.000 2.155 0.000
```

## Properties
Spin magnetization (μB per cell): 0.00
ΔH_f (0 K) (eV per formula unit): -0.04
VASP energy (eV per atom): -9.715



(30)
The following is a GGA-PBEsol calculation of MoAs2Ru after structural relaxation, from Alexandria via LeMat-Bulk.

Cell and atoms, written as extended XYZ:
```
4
Lattice="3.943 -1.479 0.000 3.943 1.479 0.000 -1.141 0.000 5.090" Properties=species:S:1:pos:R:3 pbc="T T T"
Mo 0.000 0.000 0.000
As 1.105 0.000 3.802
As 5.641 0.000 1.288
Ru 3.373 0.000 2.545
```

## Properties
Spin magnetization (μB per cell): 0.00
ΔH_f (0 K) (eV per formula unit): 0.15
VASP energy (eV per atom): -8.000
Energy above the most stable polymorph in this dataset (meV/atom): 0



(31)
The following is a GGA-PBEsol calculation of MoAsRuSe2 after structural relaxation, from Alexandria via LeMat-Bulk.

Cell and atoms, written as extended XYZ:
```
5
Lattice="4.855 0.000 0.000 0.000 4.855 0.000 0.000 0.000 4.517" Properties=species:S:1:pos:R:3 pbc="T T T"
Mo 0.000 0.000 0.000
As 2.428 2.428 0.000
Ru 2.428 2.428 2.259
Se 0.000 2.428 2.259
Se 2.428 0.000 2.259
```

## Properties
Spin magnetization (μB per cell): 2.63
Uncorrected formation energy (kJ per mole of atoms): 98.8
VASP energy (eV per atom): -5.926